*a*
Below is Ni2OsRu after structural relaxation, with properties calculated at the GGA-PBE level.

Cell: 5.4834 5.4834 6.1345 Å, 63.45 63.45 90.00°
Sites, in units of the cell vectors:
Os: 0.7500 0.2500 0.5000
Ni: 0.6270 0.1250 0.2500
Ni: 0.3750 0.3730 0.7500
Ni: 0.8750 0.8770 0.7500
Os: 0.0000 0.0000 0.0000
Ru: 0.5000 0.5000 0.0000
Ru: 0.2500 0.7500 0.5000
Ni: 0.1230 0.6250 0.2500

Output
SG   I-42d
V   71 Å³/f.u.


*b*
Below is Ni2OsRu after structural relaxation, with properties calculated at the GGA-PBE level.

Cell: 2.6299 3.6972 5.1777 Å, 90.00 90.00 90.00°
Sites, in units of the cell vectors:
Ru: 0.5000 0.5000 0.7500
Ni: 0.0000 0.0000 0.0046
Os: 0.5000 0.5000 0.2500
Ni: 0.0000 0.0000 0.4954

Output
SG   Pmmm
V   50 Å³/f.u.


*c*
Below is Ni2OsRu after structural relaxation, with properties calculated at the GGA-PBE level.

Cell: 8.5883 8.5883 8.5883 Å, 17.70 17.70 17.70°
Site moments in Bohr magnetons follow the coordinates.
Sites, in units of the cell vectors:
Ni: 0.0000 0.0000 0.0000  0.17
Ru: 0.7500 0.7500 0.7500  0.08
Os: 0.2500 0.2500 0.2500  0.04
Ni: 0.5000 0.5000 0.5000  0.17

Output
SG   R-3m
V   51 Å³/f.u.


*d*
Below is Ni2OsRu after structural relaxation, with properties calculated at the GGA-PBE level.

Cell: 2.5878 2.5878 8.7365 Å, 90.00 90.00 117.18°
Sites, in units of the cell vectors:
Os: 0.5000 0.5000 0.2500
Ni: 0.0000 0.0000 0.4997
Ru: 0.5000 0.5000 0.7500
Ni: 0.0000 0.0000 0.0003

Output
SG   Cmmm
V   52 Å³/f.u.


It is *b* that is most stable; the runner-up trails by 0.6 kJ/mol of atoms.


*a*
Below is Ni2OsRu after structural relaxation, with properties calculated at the GGA-PBE level.

Cell: 4.2790 4.2790 2.7425 Å, 90.00 90.00 90.00°
Sites, in units of the cell vectors:
Ni: 0.5000 0.5000 0.0000
Os: 0.5000 0.0000 0.5000
Ni: 0.0000 0.0000 0.0000
Ru: 0.0000 0.5000 0.5000

Output
SG   P4/mmm
V   50 Å³/f.u.


*b*
Below is Ni2OsRu after structural relaxation, with properties calculated at the GGA-PBE level.

Cell: 4.5929 4.9568 4.9720 Å, 62.81 88.65 88.65°
Sites, in units of the cell vectors:
Ni: 0.5876 0.4956 0.7596
Ru: 0.9119 0.2495 0.5040
Ni: 0.0878 0.2569 0.9968
Ru: 0.0881 0.7505 0.4960
Os: 0.5897 0.9986 0.2501
Ni: 0.9122 0.7431 0.0032
Os: 0.4103 0.0014 0.7499
Ni: 0.4124 0.5044 0.2404

Output
SG   P-1
V   50 Å³/f.u.


*c*
Below is Ni2OsRu after structural relaxation, with properties calculated at the GGA-PBE level.

Cell: 4.5242 4.5242 4.5242 Å, 131.89 131.89 70.40°
Sites, in units of the cell vectors:
Os: 0.2500 0.7500 0.5000
Ni: 0.5000 0.5000 0.0000
Ru: 0.7500 0.2500 0.5000
Ni: 0.0000 0.0000 0.0000

Output
SG   I4/mmm
V   50 Å³/f.u.


It is *b* that is most stable; the runner-up trails by 9.8 kJ/mol of atoms.


*a*
Below is Ni2OsRu after structural relaxation, with properties calculated at the GGA-PBE level.

Cell: 4.1374 4.1374 4.1374 Å, 60.00 60.00 60.00°
Sites, in units of the cell vectors:
Ni: 0.7500 0.7500 0.7500
Ru: 0.0000 0.0000 0.0000
Ni: 0.2500 0.2500 0.2500
Os: 0.5000 0.5000 0.5000

Output
SG   Fm-3m
V   50 Å³/f.u.


*b*
Below is Ni2OsRu after structural relaxation, with properties calculated at the GGA-PBE level.

Cell: 5.2419 10.4105 3.7024 Å, 90.00 90.00 90.00°
Sites, in units of the cell vectors:
Ni: 0.2500 0.7500 0.5000
Ru: 0.5000 0.6257 0.0000
Os: 0.2421 0.5000 0.5000
Ni: 0.0000 0.6282 0.0000
Ni: 0.2500 0.2500 0.5000
Ni: 0.0000 0.3718 0.0000
Ni: 0.7500 0.2500 0.5000
Os: 0.2579 0.0000 0.5000
Os: 0.7421 0.0000 0.5000
Ni: 0.5000 0.1282 0.0000
Os: 0.7579 0.5000 0.5000
Ru: 0.5000 0.3743 0.0000
Ru: 0.0000 0.1257 0.0000
Ni: 0.7500 0.7500 0.5000
Ru: 0.0000 0.8743 0.0000
Ni: 0.5000 0.8718 0.0000

Output
SG   Cmmm
V   51 Å³/f.u.


It is *b* that is most stable; the runner-up trails by 18.8 kJ/mol of atoms.


*a*
Below is NiOs2S2 after structural relaxation, with properties calculated at the GGA-PBE level.

Cell: 6.8476 6.8476 2.8849 Å, 90.00 90.00 90.00°
Sites, in units of the cell vectors:
Os: 0.6523 0.8477 0.5000
Os: 0.3477 0.1523 0.5000
S: 0.1537 0.3463 0.0000
Ni: 0.0000 0.0000 0.0000
Os: 0.1523 0.6523 0.5000
S: 0.6537 0.1537 0.0000
S: 0.3463 0.8463 0.0000
S: 0.8463 0.6537 0.0000
Ni: 0.5000 0.5000 0.0000
Os: 0.8477 0.3477 0.5000

Output
SG   P4/mbm
V   68 Å³/f.u.


*b*
Below is NiOs2S2 after structural relaxation, with properties calculated at the GGA-PBE level.

Cell: 4.0157 4.0157 5.6313 Å, 69.11 69.11 90.00°
Sites, in units of the cell vectors:
S: 0.3689 0.3689 0.2622
Os: 0.2500 0.7500 0.5000
Ni: 0.0000 0.0000 0.0000
S: 0.6311 0.6311 0.7378
Os: 0.7500 0.2500 0.5000

Output
SG   I4/mmm
V   78 Å³/f.u.


It is *b* that is most stable; the runner-up trails by 13.6 kJ/mol of atoms.


*a*
Below is NiOs3S after structural relaxation, with properties calculated at the GGA-PBE level.

Cell: 4.4490 4.4490 4.4490 Å, 90.00 90.00 90.00°
Site moments in Bohr magnetons follow the coordinates.
Sites, in units of the cell vectors:
Ni: 0.0000 0.0000 0.0000  0.58
Os: 0.0000 0.5000 0.0000  0.71
Os: 0.0000 0.0000 0.5000  0.82
Os: 0.5000 0.0000 0.0000  0.46
S: 0.5000 0.5000 0.5000  0.01

Output
SG   Pm-3m
V   88 Å³/f.u.


*b*
Below is NiOs3S after structural relaxation, with properties calculated at the GGA-PBE level.

Cell: 4.3009 4.3009 4.3009 Å, 90.00 90.00 90.00°
Site moments in Bohr magnetons follow the coordinates.
Sites, in units of the cell vectors:
Os: 0.0000 0.5000 0.0000  0.33
Os: 0.0000 0.0000 0.5000  0.23
Os: 0.5000 0.0000 0.0000  0.47
Ni: 0.5000 0.5000 0.5000  0.86
S: 0.0000 0.0000 0.0000  -0.01

Output
SG   Pm-3m
V   80 Å³/f.u.


It is *b* that is most stable; the runner-up trails by 102.1 kJ/mol of atoms.


*a*
Below is NiSbOs3 after structural relaxation, with properties calculated at the GGA-PBE level.

Cell: 4.4775 4.4775 4.4775 Å, 90.00 90.00 90.00°
Site moments in Bohr magnetons follow the coordinates.
Sites, in units of the cell vectors:
Os: 0.0000 0.0000 0.5000  0.50
Sb: 0.5000 0.5000 0.5000  -0.03
Os: 0.5000 0.0000 0.0000  0.12
Os: 0.0000 0.5000 0.0000  0.25
Ni: 0.0000 0.0000 0.0000  0.56

Output
SG   Pm-3m
V   90 Å³/f.u.


*b*
Below is NiSbOs3 after structural relaxation, with properties calculated at the GGA-PBE level.

Cell: 4.7997 4.7997 4.7997 Å, 90.00 90.00 90.00°
Site moments in Bohr magnetons follow the coordinates.
Sites, in units of the cell vectors:
Os: 0.0000 0.5000 0.0000  0.71
Sb: 0.0000 0.0000 0.0000  -0.02
Os: 0.0000 0.0000 0.5000  0.77
Ni: 0.5000 0.5000 0.5000  1.09
Os: 0.5000 0.0000 0.0000  0.68

Output
SG   Pm-3m
V   111 Å³/f.u.


It is *a* that is most stable; the runner-up trails by 98.2 kJ/mol of atoms.


*a*
Below is NiSb3Os after structural relaxation, with properties calculated at the GGA-PBE level.

Cell: 4.8162 4.8162 4.8162 Å, 90.00 90.00 90.00°
Sites, in units of the cell vectors:
Sb: 0.0000 0.0000 0.5000
Sb: 0.0000 0.5000 0.0000
Sb: 0.5000 0.0000 0.0000
Os: 0.5000 0.5000 0.5000
Ni: 0.0000 0.0000 0.0000

Output
SG   Pm-3m
V   112 Å³/f.u.


*b*
Below is NiSb3Os after structural relaxation, with properties calculated at the GGA-PBE level.

Cell: 5.1128 5.1128 5.1128 Å, 90.00 90.00 90.00°
Site moments in Bohr magnetons follow the coordinates.
Sites, in units of the cell vectors:
Os: 0.0000 0.0000 0.0000  0.00
Sb: 0.0000 0.5000 0.0000  0.00
Sb: 0.0000 0.0000 0.5000  0.01
Sb: 0.5000 0.0000 0.0000  0.00
Ni: 0.5000 0.5000 0.5000  0.27

Output
SG   Pm-3m
V   134 Å³/f.u.


It is *a* that is most stable; the runner-up trails by 1.0 kJ/mol of atoms.


*a*
Below is Ni2Sb2Os after structural relaxation, with properties calculated at the GGA-PBE level.

Cell: 4.8195 4.8195 5.0608 Å, 61.57 61.57 90.00°
Site moments in Bohr magnetons follow the coordinates.
Sites, in units of the cell vectors:
Ni: 0.3532 0.3532 0.2935  0.02
Sb: 0.7500 0.2500 0.5000  0.00
Sb: 0.2500 0.7500 0.5000  0.00
Ni: 0.6468 0.6468 0.7065  0.02
Os: 0.0000 0.0000 0.0000  0.36

Output
SG   I4/mmm
V   87 Å³/f.u.


*b*
Below is Ni2Sb2Os after structural relaxation, with properties calculated at the GGA-PBE level.

Cell: 6.9068 6.9068 3.3262 Å, 90.00 90.00 90.00°
Sites, in units of the cell vectors:
Os: 0.5000 0.5000 0.0000
Os: 0.0000 0.0000 0.0000
Ni: 0.1232 0.3768 0.0000
Sb: 0.1805 0.6805 0.5000
Sb: 0.3195 0.1805 0.5000
Sb: 0.8195 0.3195 0.5000
Ni: 0.3768 0.8768 0.0000
Ni: 0.8768 0.6232 0.0000
Ni: 0.6232 0.1232 0.0000
Sb: 0.6805 0.8195 0.5000

Output
SG   P4/mbm
V   79 Å³/f.u.


It is *b* that is most stable; the runner-up trails by 33.6 kJ/mol of atoms.


*a*
Below is Sc2NiOs after structural relaxation, with properties calculated at the GGA-PBE level.

Cell: 3.4990 3.4990 5.6393 Å, 90.00 90.00 90.00°
Sites, in units of the cell vectors:
Sc: 0.5000 0.5000 0.3019
Sc: 0.0000 0.0000 0.9516
Ni: 0.0000 0.0000 0.4746
Os: 0.5000 0.5000 0.7719

Output
SG   P4mm
V   69 Å³/f.u.


*b*
Below is Sc2NiOs after structural relaxation, with properties calculated at the GGA-PBE level.

Cell: 3.1773 3.1773 7.2527 Å, 90.00 90.00 90.00°
Sites, in units of the cell vectors:
Ni: 0.0000 0.0000 0.5435
Os: 0.5000 0.5000 0.7007
Sc: 0.5000 0.5000 0.3210
Sc: 0.0000 0.0000 0.9348

Output
SG   P4mm
V   73 Å³/f.u.


*c*
Below is Sc2NiOs after structural relaxation, with properties calculated at the GGA-PBE level.

Cell: 3.0129 4.2062 5.4160 Å, 90.00 90.00 90.00°
Sites, in units of the cell vectors:
Os: 0.5000 0.5000 0.7929
Ni: 0.0000 0.0000 0.4636
Sc: 0.0000 0.0000 0.9434
Sc: 0.5000 0.5000 0.3001

Output
SG   Pmm2
V   69 Å³/f.u.


*d*
Below is Sc2NiOs after structural relaxation, with properties calculated at the GGA-PBE level.

Cell: 3.2179 3.2344 7.0737 Å, 62.78 90.00 90.00°
Sites, in units of the cell vectors:
Os: 0.5000 0.7500 0.7500
Sc: 0.0000 0.0020 0.9977
Ni: 0.5000 0.2500 0.2500
Sc: 0.0000 0.4980 0.5023

Output
SG   Pmmm
V   65 Å³/f.u.


It is *d* that is most stable; the runner-up trails by 35.4 kJ/mol of atoms.


*a*
Below is Sc2NiOs after structural relaxation, with properties calculated at the GGA-PBE level.

Cell: 4.4970 4.4970 4.4970 Å, 60.00 60.00 60.00°
Sites, in units of the cell vectors:
Sc: 0.7500 0.7500 0.7500
Sc: 0.0000 0.0000 0.0000
Os: 0.2500 0.2500 0.2500
Ni: 0.5000 0.5000 0.5000

Output
SG   F-43m
V   64 Å³/f.u.


*b*
Below is Sc2NiOs after structural relaxation, with properties calculated at the GGA-PBE level.

Cell: 4.5206 4.5206 4.5206 Å, 60.00 60.00 60.00°
Sites, in units of the cell vectors:
Os: 0.5000 0.5000 0.5000
Ni: 0.0000 0.0000 0.0000
Sc: 0.7500 0.7500 0.7500
Sc: 0.2500 0.2500 0.2500

Output
SG   Fm-3m
V   65 Å³/f.u.


*c*
Below is Sc2NiOs after structural relaxation, with properties calculated at the GGA-PBE level.

Cell: 8.3329 8.3329 8.3329 Å, 21.40 21.40 21.40°
Sites, in units of the cell vectors:
Os: 0.7500 0.7500 0.7500
Sc: 0.9981 0.9981 0.9981
Sc: 0.5019 0.5019 0.5019
Ni: 0.2500 0.2500 0.2500

Output
SG   R-3m
V   67 Å³/f.u.


*d*
Below is Sc2NiOs after structural relaxation, with properties calculated at the GGA-PBE level.

Cell: 6.9574 6.9574 5.6767 Å, 52.21 52.21 90.00°
Sites, in units of the cell vectors:
Sc: 0.3750 0.3928 0.7500
Sc: 0.6072 0.1250 0.2500
Ni: 0.5000 0.5000 0.0000
Sc: 0.1428 0.6250 0.2500
Ni: 0.2500 0.7500 0.5000
Os: 0.7500 0.2500 0.5000
Sc: 0.8750 0.8572 0.7500
Os: 0.0000 0.0000 0.0000

Output
SG   I-42d
V   69 Å³/f.u.


It is *b* that is most stable; the runner-up trails by 40.7 kJ/mol of atoms.